1.
A relaxed structure of CeEuTmMg, computed with PBE.

Cell: 5.6044 5.6044 5.6044 Å, 60.00 60.00 60.00°
Closest atoms and distances in Å follow each position.
Fractional positions:
Eu (0.0000, 0.0000, 0.0000)  4 Mg 3.43, 4 Tm 3.43
Mg (0.2500, 0.2500, 0.2500)  4 Ce 3.43, 4 Eu 3.43
Tm (0.7500, 0.7500, 0.7500)  4 Ce 3.43, 4 Eu 3.43
Ce (0.5000, 0.5000, 0.5000)  4 Tm 3.43, 4 Mg 3.43

Summary:
Energy of formation = 0.1516 eV/atom
Space group = F-43m, No. 216

***

2.
A relaxed structure of MgSn2Pd8, computed with PBE.

Cell: 4.1592 6.4453 7.4694 Å, 108.32 106.17 90.00°
Closest atoms and distances in Å follow each position.
Fractional positions:
Mg (0.5000, 0.0000, 0.0000)  12 Pd 2.71-2.96
Sn (0.7867, 0.3352, 0.5735)  9 Pd 2.64-2.82
Sn (0.2133, 0.6648, 0.4265)  9 Pd 2.64-2.82
Pd (0.4057, 0.5425, 0.8113)  2 Sn 2.74, 8 Pd 2.80-3.02, 1 Mg 2.81
Pd (0.6735, 0.9188, 0.3470)  3 Sn 2.64-2.82, 1 Mg 2.71, 8 Pd 2.81-2.96
Pd (0.8517, 0.7922, 0.7034)  3 Sn 2.78-2.81, 7 Pd 2.80-2.96, 2 Mg 2.96
Pd (0.9638, 0.2688, 0.9277)  1 Sn 2.71, 9 Pd 2.80-3.02, 2 Mg 2.86
Pd (0.1483, 0.2078, 0.2966)  3 Sn 2.78-2.81, 7 Pd 2.80-2.96, 2 Mg 2.96
Pd (0.3265, 0.0812, 0.6530)  3 Sn 2.64-2.82, 1 Mg 2.71, 8 Pd 2.81-2.96
Pd (0.5943, 0.4575, 0.1887)  2 Sn 2.74, 8 Pd 2.80-3.02, 1 Mg 2.81
Pd (0.0362, 0.7312, 0.0723)  1 Sn 2.71, 9 Pd 2.80-3.02, 2 Mg 2.86

Summary:
Energy of formation = -0.4704 eV/atom
Space group = C2/m, No. 12
Relative energy among the computed polymorphs = 23 meV per atom

***

3.
A relaxed structure of HfAl2Ru2, computed with PBE.

Cell: 3.5162 3.5162 7.0522 Å, 75.56 75.56 90.00°
Closest atoms and distances in Å follow each position.
Fractional positions:
Ru (0.3910, 0.3910, 0.2180)  4 Al 2.56
Ru (0.6090, 0.6090, 0.7820)  4 Al 2.56
Hf (0.0000, 0.0000, 0.0000)  8 Ru 2.87
Al (0.7500, 0.2500, 0.5000)  4 Al 2.49, 4 Ru 2.56
Al (0.2500, 0.7500, 0.5000)  4 Al 2.49, 4 Ru 2.56

Summary:
Energy of formation = -0.4312 eV/atom
Space group = I4/mmm, No. 139
Relative energy among the computed polymorphs = 143 meV per atom

***

4.
A relaxed structure of WAuCl2, computed with PBE.

Cell: 4.8392 4.8392 4.8392 Å, 105.58 105.58 117.58°
Closest atoms and distances in Å follow each position.
Fractional positions:
Au (0.7500, 0.2500, 0.5000)  2 Cl 2.51
W (0.5000, 0.5000, 0.0000)  2 Cl 2.51
Cl (0.0000, 0.0000, 0.0000)  2 W 2.51
Cl (0.2500, 0.7500, 0.5000)  2 Au 2.51

Summary:
Space group = I-4m2, No. 119
Raw formation energy = 92.3 kJ/mol of atoms
Relative energy among the computed polymorphs = 1019 meV per atom

***

5.
A relaxed structure of B5C7, computed with PBE.

Cell: 2.5109 2.5109 12.3791 Å, 90.00 90.00 90.00°
Closest atoms and distances in Å follow each position.
Fractional positions:
B (0.5000, 0.5000, 0.8401)  4 C 1.62-1.67
B (0.5000, 0.5000, 0.5000)  4 C 1.64
B (0.0000, 0.0000, 0.6720)  4 C 1.64-1.65
B (0.5000, 0.5000, 0.1599)  4 C 1.62-1.67
B (0.0000, 0.0000, 0.3280)  4 C 1.64-1.65
C (0.5000, 0.0000, 0.9285)  2 C 1.54, 2 B 1.67
C (0.5000, 0.0000, 0.5854)  4 B 1.64-1.65
C (0.0000, 0.5000, 0.7571)  4 B 1.62-1.64
C (0.5000, 0.0000, 0.2429)  4 B 1.62-1.64
C (0.0000, 0.5000, 0.4146)  4 B 1.64-1.65
C (0.0000, 0.0000, 0.0000)  4 C 1.54
C (0.0000, 0.5000, 0.0715)  2 C 1.54, 2 B 1.67

Summary:
Energy of formation = 0.4005 eV/atom
Space group = P-4m2, No. 115
Relative energy among the computed polymorphs = 143 meV per atom

***

6.
A relaxed structure of Pm2InCl, computed with PBE.

Cell: 3.4948 3.4948 8.4955 Å, 90.00 90.00 90.00°
Closest atoms and distances in Å follow each position.
Fractional positions:
Cl (0.5000, 0.5000, 0.0000)  8 Pm 3.24, 4 Cl 3.49
In (0.5000, 0.5000, 0.5000)  8 Pm 3.27, 4 In 3.49
Pm (0.0000, 0.0000, 0.7529)  4 Cl 3.24, 4 In 3.27, 4 Pm 3.49
Pm (0.0000, 0.0000, 0.2471)  4 Cl 3.24, 4 In 3.27, 4 Pm 3.49

Summary:
Space group = P4/mmm, No. 123
Raw formation energy = -82.7 kJ/mol of atoms
Relative energy among the computed polymorphs = 16 meV per atom

***

7.
A relaxed structure of LiTa2Cr, computed with PBE.

Cell: 4.2028 2.6999 5.6819 Å, 78.58 90.00 90.00°
Closest atoms and distances in Å follow each position.
Fractional positions:
Cr (0.5000, 0.2500, 0.2500)  4 Ta 2.62, 2 Cr 2.70, 2 Li 2.89
Li (0.5000, 0.7500, 0.7500)  2 Li 2.70, 4 Ta 2.78, 2 Cr 2.89
Ta (0.0000, 0.0264, 0.0169)  2 Cr 2.62, 3 Ta 2.70-2.77, 2 Li 2.78
Ta (0.0000, 0.4736, 0.4831)  2 Cr 2.62, 3 Ta 2.70-2.77, 2 Li 2.78

Summary:
Energy of formation = 0.3791 eV/atom
Space group = P2/m, No. 10
Relative energy among the computed polymorphs = 134 meV per atom

***

8.
A relaxed structure of SrYS2, computed with PBE.

Cell: 4.9900 4.9900 4.9900 Å, 60.00 60.00 60.00°
Closest atoms and distances in Å follow each position.
Fractional positions:
Y (0.5000, 0.5000, 0.5000)  8 S 3.06
Sr (0.0000, 0.0000, 0.0000)  8 S 3.06
S (0.2500, 0.2500, 0.2500)  4 Sr 3.06, 4 Y 3.06
S (0.7500, 0.7500, 0.7500)  4 Sr 3.06, 4 Y 3.06

Summary:
Space group = Fm-3m, No. 225
Raw formation energy = -154.3 kJ/mol of atoms
Relative energy among the computed polymorphs = 445 meV per atom

***

9.
A relaxed structure of Ag2HgS2, computed with PBE.

Cell: 3.7695 3.7695 7.5405 Å, 75.53 75.53 90.00°
Closest atoms and distances in Å follow each position.
Fractional positions:
S (0.7500, 0.2500, 0.5000)  4 S 2.67, 4 Ag 2.85
S (0.2500, 0.7500, 0.5000)  4 S 2.67, 4 Ag 2.85
Hg (0.0000, 0.0000, 0.0000)  8 Ag 3.01
Ag (0.4011, 0.4011, 0.1978)  1 Ag 2.79, 4 S 2.85, 4 Hg 3.01
Ag (0.5989, 0.5989, 0.8022)  1 Ag 2.79, 4 S 2.85, 4 Hg 3.01

Summary:
Space group = I4/mmm, No. 139
Raw formation energy = 29.7 kJ/mol of atoms

***

10.
A relaxed structure of Fe4Rh3, computed with PBE.

Cell: 4.2103 4.2103 7.1148 Å, 72.79 72.79 60.00°
Closest atoms and distances in Å follow each position.
Fractional positions:
Fe (0.6152, 0.6152, 0.1544)  7 Rh 2.50-2.65
Fe (0.8695, 0.8695, 0.3915)  5 Rh 2.46-2.63
Fe (0.1305, 0.1305, 0.6085)  5 Rh 2.46-2.63
Fe (0.3848, 0.3848, 0.8456)  7 Rh 2.50-2.65
Rh (0.2529, 0.2529, 0.2413)  8 Fe 2.46-2.65
Rh (0.7471, 0.7471, 0.7587)  8 Fe 2.46-2.65
Rh (0.0000, 0.0000, 0.0000)  8 Fe 2.62-2.64, 6 Rh 2.92

Summary:
Energy of formation = 0.1766 eV/atom
Space group = R-3m, No. 166
Relative energy among the computed polymorphs = 187 meV per atom

***

11.
A relaxed structure of Hf2Nb3H4, computed with PBE.

Cell: 2.8808 5.1525 7.8359 Å, 105.56 90.00 106.23°
Closest atoms and distances in Å follow each position.
Fractional positions:
Hf (0.2964, 0.5928, 0.1994)  5 H 2.13-2.19
Hf (0.7036, 0.4072, 0.8006)  5 H 2.13-2.19
Nb (0.3967, 0.7933, 0.5985)  4 H 2.24-2.29
Nb (0.0000, 0.0000, 0.0000)  4 H 2.03
Nb (0.6033, 0.2067, 0.4015)  4 H 2.24-2.29
H (0.6500, 0.2999, 0.0451)  2 Nb 2.03, 3 Hf 2.13-2.16
H (0.0786, 0.1573, 0.6091)  1 H 1.96, 2 Hf 2.19
H (0.9214, 0.8427, 0.3909)  1 H 1.96, 2 Hf 2.19
H (0.3500, 0.7001, 0.9549)  2 Nb 2.03, 3 Hf 2.13-2.16

Summary:
Space group = C2/m, No. 12

***

12.
A relaxed structure of PmZrCdGa, computed with PBE.

Cell: 5.0789 5.0789 5.0789 Å, 60.00 60.00 60.00°
Closest atoms and distances in Å follow each position.
Fractional positions:
Cd (0.0000, 0.0000, 0.0000)  4 Zr 3.11, 4 Pm 3.11
Ga (0.5000, 0.5000, 0.5000)  4 Pm 3.11, 4 Zr 3.11
Zr (0.7500, 0.7500, 0.7500)  4 Cd 3.11, 4 Ga 3.11
Pm (0.2500, 0.2500, 0.2500)  4 Cd 3.11, 4 Ga 3.11

Summary:
Energy of formation = -0.2849 eV/atom
Space group = F-43m, No. 216

***

no.,total energy (eV/atom),ρ (g/cm3)
1,-5.417,6.5
2,-5.120,10.2
3,-7.629,8.8
4,-4.025,8.7
5,-7.762,2.9
6,-4.378,7.0
7,-8.432,11.1
8,-5.699,4.5
9,-2.544,8.0
10,-7.810,8.6
11,-7.111,9.9
12,-4.595,7.5